1.
# YFeSeBr2, optimized geometry, DFT PBE
data_YFeSeBr2
_chemical_formula_sum 'Y1 Fe1 Se1 Br2'
_cell_length_a 4.868
_cell_length_b 4.868
_cell_length_c 4.984
_cell_angle_alpha 90.00
_cell_angle_beta 90.00
_cell_angle_gamma 90.00
_symmetry_space_group_name_H-M 'P 4/m m m'
_symmetry_Int_Tables_number 123
_symmetry_space_group_name_Hall '-P 4 2'
loop_
_atom_site_label
_atom_site_type_symbol
_atom_site_fract_x
_atom_site_fract_y
_atom_site_fract_z
_atom_site_occupancy
Y1 Y 0.000 0.000 0.000 1
Fe1 Fe 0.500 0.500 0.500 1
Se1 Se 0.500 0.500 0.000 1
Br1 Br 0.000 0.500 0.500 1
# **Total moment**: 0.43 μB per atom
# **Formation energy without anion corrections**: -0.4028 eV/atom
# **VASP energy**: -4.754 eV per atom
# **Relative energy among the computed polymorphs**: 0 kJ/mol of formula units
# **Fermi-level density of states**: 1.236 states/eV/atom

2.
# YFeSe2Br, optimized geometry, DFT PBE
data_YFeSe2Br
_chemical_formula_sum 'Y1 Fe1 Se2 Br1'
_cell_length_a 4.888
_cell_length_b 4.888
_cell_length_c 4.766
_cell_angle_alpha 90.00
_cell_angle_beta 90.00
_cell_angle_gamma 90.00
_symmetry_space_group_name_H-M 'P 4/m m m'
_symmetry_Int_Tables_number 123
_symmetry_space_group_name_Hall '-P 4 2'
loop_
_atom_site_label
_atom_site_type_symbol
_atom_site_fract_x
_atom_site_fract_y
_atom_site_fract_z
_atom_site_occupancy
Y1 Y 0.000 0.000 0.000 1
Fe1 Fe 0.500 0.500 0.500 1
Se1 Se 0.000 0.500 0.500 1
Br1 Br 0.500 0.500 0.000 1
# **Total moment**: 0.53 μB per atom
# **Formation energy without anion corrections**: -0.5035 eV/atom
# **VASP energy**: -5.217 eV per atom
# **Relative energy among the computed polymorphs**: 0 kJ/mol of formula units
# **Fermi-level density of states**: 1.115 states/eV/atom

3.
# Zn2FeSeBr, optimized geometry, DFT PBE
data_Zn2FeSeBr
_chemical_formula_sum 'Zn2 Fe1 Se1 Br1'
_cell_length_a 4.990
_cell_length_b 4.990
_cell_length_c 5.510
_cell_angle_alpha 90.00
_cell_angle_beta 90.00
_cell_angle_gamma 90.00
_symmetry_space_group_name_H-M 'P 4/m m m'
_symmetry_Int_Tables_number 123
_symmetry_space_group_name_Hall '-P 4 2'
loop_
_atom_site_label
_atom_site_type_symbol
_atom_site_fract_x
_atom_site_fract_y
_atom_site_fract_z
_atom_site_occupancy
Zn1 Zn 0.000 0.500 0.000 1
Fe1 Fe 0.000 0.000 0.500 1
Se1 Se 0.500 0.500 0.000 1
Br1 Br 0.500 0.500 0.500 1
# **Total moment**: 0.74 μB per atom
# **Formation energy without anion corrections**: 0.8665 eV/atom
# **VASP energy**: -2.367 eV per atom
# **Fermi-level density of states**: 2.046 states/eV/atom

4.
# ZrFeSe2Br, optimized geometry, DFT PBE
data_ZrFeSe2Br
_chemical_formula_sum 'Zr1 Fe1 Se2 Br1'
_cell_length_a 4.696
_cell_length_b 4.696
_cell_length_c 4.638
_cell_angle_alpha 90.00
_cell_angle_beta 90.00
_cell_angle_gamma 90.00
_symmetry_space_group_name_H-M 'P 4/m m m'
_symmetry_Int_Tables_number 123
_symmetry_space_group_name_Hall '-P 4 2'
loop_
_atom_site_label
_atom_site_type_symbol
_atom_site_fract_x
_atom_site_fract_y
_atom_site_fract_z
_atom_site_occupancy
Zr1 Zr 0.000 0.000 0.000 1
Fe1 Fe 0.500 0.500 0.500 1
Se1 Se 0.000 0.500 0.500 1
Br1 Br 0.500 0.500 0.000 1
# **Total moment**: 0.00 μB per atom
# **Formation energy without anion corrections**: 0.1282 eV/atom
# **VASP energy**: -5.002 eV per atom
# **Relative energy among the computed polymorphs**: 64 kJ/mol of formula units
# **Fermi-level density of states**: 1.192 states/eV/atom

5.
# ZrFeSe2Br, optimized geometry, DFT PBE
data_ZrFeSe2Br
_chemical_formula_sum 'Zr1 Fe1 Se2 Br1'
_cell_length_a 5.231
_cell_length_b 5.231
_cell_length_c 5.293
_cell_angle_alpha 90.00
_cell_angle_beta 90.00
_cell_angle_gamma 90.00
_symmetry_space_group_name_H-M 'P 4/m m m'
_symmetry_Int_Tables_number 123
_symmetry_space_group_name_Hall '-P 4 2'
loop_
_atom_site_label
_atom_site_type_symbol
_atom_site_fract_x
_atom_site_fract_y
_atom_site_fract_z
_atom_site_occupancy
Zr1 Zr 0.000 0.000 0.000 1
Fe1 Fe 0.500 0.500 0.500 1
Se1 Se 0.000 0.500 0.000 1
Br1 Br 0.000 0.000 0.500 1
# **Total moment**: 0.80 μB per atom
# **Formation energy without anion corrections**: -0.0037 eV/atom
# **VASP energy**: -5.134 eV per atom
# **Relative energy among the computed polymorphs**: 0 kJ/mol of formula units
# **Fermi-level density of states**: 1.673 states/eV/atom

6.
# FeSi2Br, optimized geometry, DFT PBE
data_FeSi2Br
_chemical_formula_sum 'Fe2 Si4 Br2'
_cell_length_a 2.855
_cell_length_b 4.368
_cell_length_c 10.701
_cell_angle_alpha 90.00
_cell_angle_beta 90.00
_cell_angle_gamma 90.00
_symmetry_space_group_name_H-M 'I m m m'
_symmetry_Int_Tables_number 71
_symmetry_space_group_name_Hall '-I 2 2'
loop_
_atom_site_label
_atom_site_type_symbol
_atom_site_fract_x
_atom_site_fract_y
_atom_site_fract_z
_atom_site_occupancy
Fe1 Fe 0.000 0.000 0.000 1
Si1 Si 0.000 0.500 0.301 1
Br1 Br 0.000 0.000 0.500 1
# **Total moment**: 0.53 μB per atom
# **Formation energy without anion corrections**: 0.5545 eV/atom
# **VASP energy**: -4.691 eV per atom
# **Relative energy among the computed polymorphs**: 132 kJ/mol of formula units
# **Fermi-level density of states**: 0.988 states/eV/atom

7.
# FeSiBr2, optimized geometry, DFT PBE
data_FeSiBr2
_chemical_formula_sum 'Fe2 Si2 Br4'
_cell_length_a 3.398
_cell_length_b 3.456
_cell_length_c 17.721
_cell_angle_alpha 90.00
_cell_angle_beta 90.00
_cell_angle_gamma 90.00
_symmetry_space_group_name_H-M 'I m m 2'
_symmetry_Int_Tables_number 44
loop_
_symmetry_equiv_pos_as_xyz
'x,y,z'
'-x,-y,z'
'-x,y,z'
'x,-y,z'
'x+1/2,y+1/2,z+1/2'
'-x+1/2,-y+1/2,z+1/2'
'-x+1/2,y+1/2,z+1/2'
'x+1/2,-y+1/2,z+1/2'
loop_
_atom_site_label
_atom_site_type_symbol
_atom_site_fract_x
_atom_site_fract_y
_atom_site_fract_z
_atom_site_occupancy
Fe1 Fe 0.000 0.000 0.000 1
Si1 Si 0.000 0.500 0.917 1
Br1 Br 0.000 0.000 0.316 1
Br2 Br 0.000 0.500 0.099 1
# **Total moment**: 0.50 μB per atom
# **Formation energy without anion corrections**: 0.0590 eV/atom
# **VASP energy**: -4.249 eV per atom
# **Relative energy among the computed polymorphs**: 47 kJ/mol of formula units
# **Fermi-level density of states**: 0.912 states/eV/atom

8.
# FeSiBr2, optimized geometry, DFT PBE
data_FeSiBr2
_chemical_formula_sum 'Fe4 Si4 Br8'
_cell_length_a 9.065
_cell_length_b 9.065
_cell_length_c 4.428
_cell_angle_alpha 90.00
_cell_angle_beta 90.00
_cell_angle_gamma 90.00
_symmetry_space_group_name_H-M 'I -4 2 d'
_symmetry_Int_Tables_number 122
_symmetry_space_group_name_Hall 'I -4 2bw'
loop_
_atom_site_label
_atom_site_type_symbol
_atom_site_fract_x
_atom_site_fract_y
_atom_site_fract_z
_atom_site_occupancy
Fe1 Fe 0.000 0.000 0.000 1
Si1 Si 0.000 0.000 0.500 1
Br1 Br 0.096 0.250 0.125 1
# **Total moment**: 0.00 μB per atom
# **Formation energy without anion corrections**: 0.1996 eV/atom
# **VASP energy**: -4.108 eV per atom
# **Relative energy among the computed polymorphs**: 101 kJ/mol of formula units
# **Fermi-level density of states**: 0.093 states/eV/atom

9.
# FeSiBr4, optimized geometry, DFT PBE
data_FeSiBr4
_chemical_formula_sum 'Fe4 Si4 Br16'
_cell_length_a 8.702
_cell_length_b 8.702
_cell_length_c 8.702
_cell_angle_alpha 90.00
_cell_angle_beta 90.00
_cell_angle_gamma 90.00
_symmetry_space_group_name_H-M 'F -4 3 m'
_symmetry_Int_Tables_number 216
_symmetry_space_group_name_Hall 'F -4 2 3'
loop_
_atom_site_label
_atom_site_type_symbol
_atom_site_fract_x
_atom_site_fract_y
_atom_site_fract_z
_atom_site_occupancy
Fe1 Fe 0.000 0.000 0.000 1
Si1 Si 0.250 0.250 0.750 1
Br1 Br 0.126 0.126 0.374 1
# **Total moment**: 0.48 μB per atom
# **Formation energy without anion corrections**: 1.2480 eV/atom
# **VASP energy**: -2.182 eV per atom
# **Fermi-level density of states**: 1.835 states/eV/atom

10.
# FeSiBr, optimized geometry, DFT PBE
data_FeSiBr
_chemical_formula_sum 'Fe2 Si2 Br2'
_cell_length_a 3.271
_cell_length_b 3.271
_cell_length_c 11.627
_cell_angle_alpha 90.00
_cell_angle_beta 90.00
_cell_angle_gamma 90.00
_symmetry_space_group_name_H-M 'I 4 m m'
_symmetry_Int_Tables_number 107
_symmetry_space_group_name_Hall 'I 4 -2'
loop_
_atom_site_label
_atom_site_type_symbol
_atom_site_fract_x
_atom_site_fract_y
_atom_site_fract_z
_atom_site_occupancy
Fe1 Fe 0.000 0.000 0.000 1
Si1 Si 0.000 0.000 0.434 1
Br1 Br 0.000 0.000 0.657 1
# **Total moment**: 0.90 μB per atom
# **Formation energy without anion corrections**: 0.3765 eV/atom
# **VASP energy**: -4.810 eV per atom
# **Relative energy among the computed polymorphs**: 32 kJ/mol of formula units
# **Fermi-level density of states**: 0.402 states/eV/atom